First-principles (PBE) data for a geometry-optimized AlCr3 structure, as listed in Alexandria.

It has space group Immm (No. 71), with a = 2.921 Å, b = 4.134 Å, c = 8.092 Å, α = 90.00°, β = 90.00° and γ = 90.00°. The asymmetric unit holds Al at (0.000, 0.000, 0.000), Cr at (0.000, 0.000, 0.500) and Cr at (0.000, 0.500, 0.235).

The calculation puts the spin magnetization at 0.00 Bohr magnetons per cell. The value obtained for the total DFT energy (no corrections) is -8.207 eV per atom.